Here is an optimized crystal structure of DyEr3Si4 from the Alexandria database. Energies are from PBE.

Calculated volume = 23.6 Å³ per atom
Formation energy (no corrections) = -0.54 eV per atom
Uncorrected energy = -88.657 eV/cell
Symmetry = Immm
N(E_F) = 0.792 states/eV per atom

Lattice parameters (Å, degrees): 3.9236 6.2302 15.4622 90.00 90.00 90.00
Last column: nearest neighbours and their distance in Å.
Atoms (fractional coordinates):
Dy 0.0000 0.0000 0.0000  4 Si 2.83
Dy 0.5000 0.5000 0.5000  4 Si 2.83
Er 0.0000 0.0000 0.5000  8 Si 3.06
Er 0.0000 0.5000 0.3056  6 Si 2.92-2.93
Er 0.0000 0.5000 0.6944  6 Si 2.92-2.93
Er 0.5000 0.0000 0.1944  6 Si 2.92-2.93
Er 0.5000 0.0000 0.8056  6 Si 2.92-2.93
Er 0.5000 0.5000 0.0000  8 Si 3.06
Si 0.0000 0.3139 0.1322  1 Si 2.32
Si 0.0000 0.3139 0.8678  1 Si 2.32
Si 0.0000 0.6861 0.1322  1 Si 2.32
Si 0.0000 0.6861 0.8678  1 Si 2.32
Si 0.5000 0.1861 0.3678  1 Si 2.32
Si 0.5000 0.1861 0.6322  1 Si 2.32
Si 0.5000 0.8139 0.3678  1 Si 2.32
Si 0.5000 0.8139 0.6322  1 Si 2.32